ZnCuAgGe, optimized geometry, DFT GGA-PBE; total energy = -2.952 eV/atom; space-group type = F-43m, No. 216
1.0
-3.4635 -2.8632 -0.0861
-4.2091 1.5685 -0.1570
-2.4349 -0.4696 -3.7486
Ag Cu Ge Zn
1 1 1 1
Direct
0.5000 0.5000 0.5000
0.7500 0.7500 0.7500
0.0000 0.0000 0.0000
0.2500 0.2500 0.2500